20
Lattice="-6.096 2.192 3.680 -1.939 -4.719 -5.430 4.653 -3.414 4.712" Properties=species:S:1:pos:R:3 comment="Rb4NaMn3F12 | Alexandria via LeMat-Bulk | GGA+U | optimized geometry" crystal_system=cubic total_energy_ev_per_cell=-104.895 pbc="T T T"
Rb -1.691 -2.970 1.481
Rb 2.326 -1.707 2.356
Rb -3.048 1.096 1.840
Rb -0.970 -2.359 -2.715
Na 0.000 0.000 0.000
Mn -0.722 -0.611 4.196
Mn -4.018 -1.263 -0.875
Mn 1.357 -4.066 -0.359
F 0.996 -4.372 1.739
F -1.055 -0.893 6.135
F -0.388 -0.329 2.258
F -4.378 -1.569 1.223
F -5.874 -1.847 -1.279
F -2.161 -0.680 -0.471
F -2.730 -1.243 3.759
F -0.652 -4.698 -0.796
F -0.043 -2.644 4.017
F 1.984 -5.945 -0.524
F -3.339 -3.297 -1.054
F 0.730 -2.187 -0.193


5
Lattice="-1.238 2.092 -4.221 -2.245 -2.658 -0.659 -3.557 2.445 2.256" Properties=species:S:1:pos:R:3 comment="NaMnRe2F | Alexandria via LeMat-Bulk | GGA+U | optimized geometry" crystal_system=tetragonal total_energy_ev_per_cell=-22.492 pbc="T T T"
Re -1.779 1.223 1.128
Re -0.619 1.046 -2.110
F -1.123 -1.329 -0.330
Mn -3.520 0.940 -1.312
Na 0.000 0.000 0.000


18
Lattice="-0.049 4.858 -2.656 -4.716 -2.121 1.979 1.450 4.593 8.377" Properties=species:S:1:pos:R:3 comment="NaMnRuF6 | Alexandria via LeMat-Bulk | GGA+U | optimized geometry" crystal_system=trigonal total_energy_ev_per_cell=-98.241 pbc="T T T"
Na 0.000 0.000 0.000
Na 0.725 2.297 4.188
Mn -2.798 1.354 2.528
Mn -0.517 5.977 5.172
Ru -1.242 3.680 0.983
Ru -2.073 3.651 6.717
F -2.846 2.467 0.681
F -1.469 4.682 -0.771
F -3.727 2.518 6.379
F -1.846 2.649 8.471
F -1.115 2.685 2.752
F -2.538 5.082 1.684
F -3.418 4.978 7.466
F 0.412 4.813 1.321
F -0.777 2.249 6.016
F 0.103 2.352 0.234
F -2.200 4.646 4.948
F -0.469 4.863 7.019


18
Lattice="-4.605 -1.176 1.615 1.129 -4.879 -0.333 3.289 0.116 9.460" Properties=species:S:1:pos:R:3 comment="NaScMnF6 | Alexandria via LeMat-Bulk | GGA+U | optimized geometry" crystal_system=tetragonal total_energy_ev_per_cell=-111.980 pbc="T T T"
Na -0.097 -2.969 5.361
Na 3.285 0.116 9.449
Sc 1.001 -2.931 8.519
Sc 1.094 0.039 3.148
Mn -1.184 -3.008 2.235
Mn 2.198 0.078 6.323
F 1.710 -4.152 4.677
F -1.948 -1.789 5.920
F 2.155 -1.816 9.796
F 0.897 -4.008 10.260
F 0.593 -4.118 1.811
F -2.849 -1.894 2.981
F 1.211 -1.738 6.869
F -0.178 -4.158 7.382
F -0.683 -1.867 8.978
F 2.614 -3.997 7.858
F -1.417 -4.277 3.961
F 0.060 -1.703 3.416


12
Lattice="-1.458 -2.271 3.705 5.136 -1.348 1.116 0.710 5.953 3.929" Properties=species:S:1:pos:R:3 comment="Na2SrMnF8 | Alexandria via LeMat-Bulk | GGA+U | optimized geometry" crystal_system=monoclinic total_energy_ev_per_cell=-60.492 pbc="T T T"
Na 2.374 2.675 5.370
Na 2.014 -0.342 3.380
Sr 0.355 2.976 1.964
Mn 0.000 0.000 0.000
F 4.068 -0.333 2.248
F 2.968 -2.627 3.445
F -0.121 -1.031 4.062
F 0.320 2.666 6.502
F 1.420 4.960 5.305
F 4.509 3.364 4.688
F 3.296 0.643 4.970
F 1.092 1.691 3.780


10
Lattice="5.860 -0.004 -0.010 -2.933 5.064 0.002 -2.935 -1.687 5.171" Properties=species:S:1:pos:R:3 comment="Na2SrMnF6 | Alexandria via LeMat-Bulk | GGA+U | optimized geometry" crystal_system=triclinic total_energy_ev_per_cell=-53.555 pbc="T T T"
Na 0.043 3.392 1.875
Na 0.042 0.021 4.380
Sr -2.889 -1.665 5.167
Mn 2.970 1.705 2.454
F -1.799 3.242 3.488
F 2.189 0.269 1.019
F 2.116 3.108 1.016
F -1.243 1.754 1.006
F 1.076 1.889 3.481
F -2.104 -0.005 3.492